[1]
# HgWBr2 | Alexandria via LeMat-Bulk | PBE-GGA | relaxed
data_HgWBr2
_chemical_formula_sum 'Hg3 W3 Br6'
_cell_length_a 3.301
_cell_length_b 3.301
_cell_length_c 28.527
_cell_angle_alpha 90.00
_cell_angle_beta 90.00
_cell_angle_gamma 120.00
_symmetry_space_group_name_H-M 'P 1'
_symmetry_Int_Tables_number 1
loop_
_symmetry_equiv_pos_as_xyz
'x,y,z'
loop_
_atom_site_label
_atom_site_type_symbol
_atom_site_fract_x
_atom_site_fract_y
_atom_site_fract_z
Hg1 Hg 0.000 0.000 0.000
Hg2 Hg 0.333 0.667 0.667
Hg3 Hg 0.667 0.333 0.333
W1 W 0.000 0.000 0.255
W2 W 0.333 0.667 0.922
W3 W 0.667 0.333 0.588
Br1 Br 0.000 0.000 0.529
Br2 Br 0.000 0.000 0.750
Br3 Br 0.333 0.667 0.195
Br4 Br 0.333 0.667 0.417
Br5 Br 0.667 0.333 0.083
Br6 Br 0.667 0.333 0.862
# **Polymorph energy (0 for the lowest one)**: 158.7 meV per atom
# **ΔE_f (raw)**: 1.46 eV per formula unit
# **Size of the total moment**: 0.0 μB/cell
# **Symmetry**: R3m (160)


[2]
# HgW2Br | Alexandria via LeMat-Bulk | PBE-GGA | relaxed
data_HgW2Br
_chemical_formula_sum 'Hg4 W8 Br4'
_cell_length_a 4.117
_cell_length_b 4.117
_cell_length_c 19.428
_cell_angle_alpha 90.00
_cell_angle_beta 90.00
_cell_angle_gamma 90.00
_symmetry_space_group_name_H-M 'P 1'
_symmetry_Int_Tables_number 1
loop_
_symmetry_equiv_pos_as_xyz
'x,y,z'
loop_
_atom_site_label
_atom_site_type_symbol
_atom_site_fract_x
_atom_site_fract_y
_atom_site_fract_z
Hg1 Hg 0.000 0.000 0.000
Hg2 Hg 0.000 0.500 0.250
Hg3 Hg 0.500 0.000 0.750
Hg4 Hg 0.500 0.500 0.500
W1 W 0.193 0.250 0.625
W2 W 0.250 0.693 0.875
W3 W 0.250 0.807 0.375
W4 W 0.307 0.250 0.125
W5 W 0.693 0.750 0.125
W6 W 0.750 0.193 0.375
W7 W 0.750 0.307 0.875
W8 W 0.807 0.750 0.625
Br1 Br 0.000 0.000 0.500
Br2 Br 0.000 0.500 0.750
Br3 Br 0.500 0.000 0.250
Br4 Br 0.500 0.500 0.000
# **Polymorph energy (0 for the lowest one)**: 960.8 meV per atom
# **ΔE_f (raw)**: 5.41 eV per formula unit
# **Size of the total moment**: 0.0 μB/cell
# **Symmetry**: I-42d (122)


[3]
# HgW2Br | Alexandria via LeMat-Bulk | PBE-GGA | relaxed
data_HgW2Br
_chemical_formula_sum 'Hg1 W2 Br1'
_cell_length_a 2.889
_cell_length_b 2.889
_cell_length_c 8.669
_cell_angle_alpha 90.00
_cell_angle_beta 90.00
_cell_angle_gamma 90.00
_symmetry_space_group_name_H-M 'P 1'
_symmetry_Int_Tables_number 1
loop_
_symmetry_equiv_pos_as_xyz
'x,y,z'
loop_
_atom_site_label
_atom_site_type_symbol
_atom_site_fract_x
_atom_site_fract_y
_atom_site_fract_z
Hg1 Hg 0.000 0.000 0.000
W1 W 0.500 0.500 0.255
W2 W 0.500 0.500 0.745
Br1 Br 0.000 0.000 0.500
# **Polymorph energy (0 for the lowest one)**: 969.8 meV per atom
# **ΔE_f (raw)**: 5.45 eV per formula unit
# **Size of the total moment**: 0.0 μB/cell
# **Symmetry**: P4/mmm (123)


[4]
# HgW2Br | Alexandria via LeMat-Bulk | PBE-GGA | relaxed
data_HgW2Br
_chemical_formula_sum 'Hg2 W4 Br2'
_cell_length_a 3.195
_cell_length_b 4.832
_cell_length_c 11.761
_cell_angle_alpha 90.00
_cell_angle_beta 90.00
_cell_angle_gamma 90.00
_symmetry_space_group_name_H-M 'P 1'
_symmetry_Int_Tables_number 1
loop_
_symmetry_equiv_pos_as_xyz
'x,y,z'
loop_
_atom_site_label
_atom_site_type_symbol
_atom_site_fract_x
_atom_site_fract_y
_atom_site_fract_z
Hg1 Hg 0.000 0.000 0.000
Hg2 Hg 0.500 0.500 0.500
W1 W 0.000 0.000 0.514
W2 W 0.000 0.500 0.859
W3 W 0.500 0.000 0.359
W4 W 0.500 0.500 0.014
Br1 Br 0.000 0.500 0.227
Br2 Br 0.500 0.000 0.727
# **Polymorph energy (0 for the lowest one)**: 509.9 meV per atom
# **ΔE_f (raw)**: 3.61 eV per formula unit
# **Size of the total moment**: 0.0 μB/cell
# **Symmetry**: Imm2 (44)


[5]
# HgWBr2 | Alexandria via LeMat-Bulk | PBE-GGA | relaxed
data_HgWBr2
_chemical_formula_sum 'Hg2 W2 Br4'
_cell_length_a 3.106
_cell_length_b 5.114
_cell_length_c 14.392
_cell_angle_alpha 90.00
_cell_angle_beta 90.00
_cell_angle_gamma 90.00
_symmetry_space_group_name_H-M 'P 1'
_symmetry_Int_Tables_number 1
loop_
_symmetry_equiv_pos_as_xyz
'x,y,z'
loop_
_atom_site_label
_atom_site_type_symbol
_atom_site_fract_x
_atom_site_fract_y
_atom_site_fract_z
Hg1 Hg 0.000 0.000 0.000
Hg2 Hg 0.500 0.500 0.500
W1 W 0.000 0.000 0.500
W2 W 0.500 0.500 0.000
Br1 Br 0.000 0.500 0.148
Br2 Br 0.000 0.500 0.852
Br3 Br 0.500 0.000 0.352
Br4 Br 0.500 0.000 0.648
# **Polymorph energy (0 for the lowest one)**: 35.3 meV per atom
# **ΔE_f (raw)**: 0.96 eV per formula unit
# **Size of the total moment**: 2.4 μB/cell
# **Symmetry**: Immm (71)


[6]
# HgWBr2 | Alexandria via LeMat-Bulk | PBE-GGA | relaxed
data_HgWBr2
_chemical_formula_sum 'Hg1 W1 Br2'
_cell_length_a 3.185
_cell_length_b 3.185
_cell_length_c 8.787
_cell_angle_alpha 90.00
_cell_angle_beta 90.00
_cell_angle_gamma 90.00
_symmetry_space_group_name_H-M 'P 1'
_symmetry_Int_Tables_number 1
loop_
_symmetry_equiv_pos_as_xyz
'x,y,z'
loop_
_atom_site_label
_atom_site_type_symbol
_atom_site_fract_x
_atom_site_fract_y
_atom_site_fract_z
Hg1 Hg 0.000 0.000 0.000
W1 W 0.500 0.500 0.223
Br1 Br 0.000 0.000 0.392
Br2 Br 0.500 0.500 0.745
# **Polymorph energy (0 for the lowest one)**: 371.6 meV per atom
# **ΔE_f (raw)**: 2.31 eV per formula unit
# **Size of the total moment**: 0.0 μB/cell
# **Symmetry**: P4mm (99)


Which formula does entry 3 have? HgW2Br


Which value of polymorph energy (0 for the lowest one) does entry 6 give? 371.6 meV per atom


What is the ΔE_f (raw) in the sixth record? 2.31 eV per formula unit


Which of these has the highest size of the total moment? number 5